A plane-wave DFT calculation with GGA-PBE was carried out for an optimized crystal structure of ZrP3N.

```
ZrP3N
1.0
5.0419 0.0000 0.0000
0.0000 5.0419 0.0000
0.0000 0.0000 5.0419
P Zr N
3 1 1
Cartesian
0.0000 2.5210 0.0000 P
0.0000 0.0000 2.5210 P
2.5210 0.0000 0.0000 P
0.0000 0.0000 0.0000 Zr
2.5210 2.5210 2.5210 N
```



A plane-wave DFT calculation with GGA-PBE was carried out for an optimized crystal structure of Pa3N.

```
Pa3N
1.0
4.6666 0.0000 0.0000
0.0000 4.6666 0.0000
0.0000 0.0000 4.1319
Pa N
3 1
Cartesian
0.0000 0.0000 3.9593 Pa
0.0000 2.3333 1.8935 Pa
2.3333 2.3333 3.9600 Pa
2.3333 0.0000 3.9602 N
```



A plane-wave DFT calculation with GGA-PBE was carried out for an optimized crystal structure of Pa3N4.

```
Pa3N4
1.0
3.4233 0.0000 -0.8549
-0.5619 5.5795 -2.2501
-0.2795 -0.5831 6.1623
Pa N
3 4
Cartesian
0.0000 0.0000 0.0000 Pa
1.8779 3.6641 0.2386 Pa
0.7039 1.3323 2.8187 Pa
2.4272 2.7865 2.4381 N
0.1546 2.2099 0.6192 N
2.1236 -0.0324 1.2221 N
0.4583 5.0288 1.8352 N
```



A plane-wave DFT calculation with GGA-PBE was carried out for an optimized crystal structure of PaN2.

```
PaN2
1.0
-1.6163 -0.6059 -5.6656
5.6078 0.2879 -1.6306
0.3466 -4.5514 0.3878
Pa N
4 8
Cartesian
3.4562 -1.2407 -4.1199 Pa
1.4275 -1.0834 -0.4622 Pa
0.8819 -3.6286 -2.7884 Pa
2.9105 -3.7859 -6.4460 Pa
2.9090 -4.5503 -1.8911 N
1.6024 -2.5947 -4.8232 N
1.4291 -0.3190 -5.0172 N
2.7357 -2.2747 -2.0851 N
4.2971 -3.5170 -4.5277 N
0.7184 -3.4391 -0.4194 N
0.0410 -1.3524 -2.3806 N
3.6196 -1.4303 -6.4889 N
```



A plane-wave DFT calculation with GGA-PBE was carried out for an optimized crystal structure of Pa3N.

```
Pa3N
1.0
3.1171 0.0000 0.0000
0.0000 5.7939 0.0000
-1.5586 -2.8969 4.4383
Pa N
3 1
Cartesian
0.0000 2.1398 2.8363 Pa
1.5586 2.2453 0.0000 Pa
1.5586 -0.7572 1.6020 Pa
0.0000 0.2347 0.0000 N
```



A plane-wave DFT calculation with GGA-PBE was carried out for an optimized crystal structure of PaN2.

```
PaN2
1.0
-0.3887 1.4289 3.0744
-0.4143 -3.0914 1.3844
2.6347 -1.0257 2.7037
Pa N
1 2
Cartesian
-0.1944 0.7145 1.5372 Pa
1.7369 -2.5269 3.2880 N
0.0947 -0.1613 3.8746 N
```



| no. | polymorph energy (0 for the lowest one) (kJ per mole of atoms) | raw formation energy (eV per atom) | raw total energy (hartree per atom) |
| --- | --- | --- | --- |
| 1 | 119.9 | 1.447 | -0.1901 |
| 2 | 63.4 | -0.038 | -0.3396 |
| 3 | 0.8 | -1.429 | -0.3769 |
| 4 | 0.0 | -1.139 | -0.3621 |
| 5 | 31.6 | -0.368 | -0.3517 |
| 6 | 2.4 | -1.114 | -0.3612 |